The following is a PBE calculation of crystalline Sc4TiNi5 at its relaxed geometry, from the Alexandria database.

a = 3.115 Å, b = 3.115 Å, c = 15.955 Å
α = 90.00°, β = 90.00°, γ = 90.00°
Positions (direct):
Sc (0.000, 0.000, 0.195)
Sc (0.000, 0.000, 0.398)
Sc (0.000, 0.000, 0.602)
Sc (0.000, 0.000, 0.805)
Ti (0.000, 0.000, 0.000)
Ni (0.500, 0.500, 0.084)
Ni (0.500, 0.500, 0.296)
Ni (0.500, 0.500, 0.500)
Ni (0.500, 0.500, 0.704)
Ni (0.500, 0.500, 0.916)

Results
The calculation puts the formation energy at -0.471 eV per atom. For the final energy, the calculation gives -6.6840 eV per atom. As for the crystal system: tetragonal. The space group is No. 123.